DFT (PBE) results for a relaxed LuTlNiTe3 crystal.

total DFT energy (no corrections) = -4.2877 eV/atom
space group = No. 63

```
LuTlNiTe3
1.0
8.045 -2.052 0.000
8.045 2.052 0.000
0.000 0.000 10.740
Lu Ni Te Tl
2 2 6 2
Cartesian
0.000 0.000 0.000
0.000 0.000 5.370
7.717 0.000 2.685
8.373 0.000 8.055
5.991 0.000 0.805
1.251 0.000 2.685
5.991 0.000 4.565
10.100 0.000 6.175
14.840 0.000 8.055
10.100 0.000 9.935
12.060 0.000 2.685
4.030 0.000 8.055
```